1.
Below is a relaxed InBP2Cl crystal, with properties calculated at the PBE level.

Geometry as POSCAR:
```
InBP2Cl
1.0
5.465 0.000 0.000
0.000 5.465 0.000
0.000 0.000 5.345
In B P Cl
1 1 2 1
Direct
0.000 0.000 0.000
0.500 0.500 0.500
0.000 0.500 0.000
0.500 0.000 0.000
0.000 0.000 0.500
```

- energy above the most stable polymorph in this dataset (meV/atom) = 1134
- crystal system = tetragonal
- volume (Å³/cell) = 160
- total moment (μB per atom) = 0.46

=====

2.
Below is a relaxed InB2SCl crystal, with properties calculated at the PBE level.

Geometry as POSCAR:
```
InB2SCl
1.0
4.054 0.000 0.000
0.000 4.054 0.000
0.000 0.000 6.712
In B S Cl
1 2 1 1
Direct
0.000 0.000 0.000
0.000 0.500 0.500
0.500 0.000 0.500
0.500 0.500 0.000
0.000 0.000 0.500
```

- crystal system = tetragonal
- volume (Å³/cell) = 110
- final energy (eV per atom) = -2.69
- total moment (μB per atom) = 0.01

=====

3.
Below is a relaxed InBS2Cl crystal, with properties calculated at the PBE level.

Geometry as POSCAR:
```
InBS2Cl
1.0
4.328 0.000 0.000
0.000 4.328 0.000
0.000 0.000 4.453
In B S Cl
1 1 2 1
Direct
0.000 0.000 0.000
0.500 0.500 0.500
0.000 0.500 0.500
0.500 0.000 0.500
0.500 0.500 0.000
```

- energy above the most stable polymorph in this dataset (meV/atom) = 0
- crystal system = tetragonal
- volume (Å³/cell) = 83
- total moment (μB per atom) = 0.00